1.
K2LaMnO4 | PBE+U | relaxed

Density of states at the Fermi level ... 0.000 states/eV/f.u.

Structure (POSCAR):
```
K2LaMnO4
1.0
6.860 0.113 0.037
0.108 6.861 0.037
-3.395 -3.397 5.789
K La Mn O
4 2 2 8
Cartesian
3.430 0.056 0.019
1.733 -1.642 2.913
-1.697 -1.698 2.894
3.484 3.487 0.037
0.054 3.430 0.019
5.217 1.844 2.950
1.787 1.788 2.932
3.466 -3.284 5.826
-1.956 2.015 5.417
3.236 0.459 3.341
0.338 3.117 2.522
5.530 1.561 0.446
5.686 5.533 0.394
3.226 3.072 2.611
0.348 0.505 3.252
-2.112 -1.957 5.469
```

2.
KLaMnO3 | PBE+U | relaxed

Structure (POSCAR):
```
KLaMnO3
1.0
-1.639 -1.168 3.156
-6.206 -1.712 -3.856
5.681 -7.851 0.044
K La Mn O
2 2 2 6
Cartesian
-1.471 -9.016 -0.772
-0.693 -1.714 0.115
-3.680 -2.613 -1.768
1.516 -8.118 1.112
2.982 -5.197 0.735
-5.146 -5.534 -1.391
-3.385 -4.962 -2.485
-5.877 -3.663 -1.078
-3.396 -2.509 0.637
1.221 -5.769 1.828
1.232 -8.222 -1.294
3.713 -7.068 0.422
```

3.
KSrLaMnO6 | PBE+U | relaxed

Density of states at the Fermi level ... 3.834 states/eV/f.u.

Structure (POSCAR):
```
KSrLaMnO6
1.0
0.000 4.246 4.246
4.246 0.000 4.246
4.246 4.246 0.000
K Sr La Mn O
1 1 1 1 6
Cartesian
2.123 2.123 2.123
6.370 6.370 6.370
0.000 0.000 0.000
4.246 4.246 4.246
4.246 2.342 4.246
4.246 6.151 4.246
6.151 4.246 4.246
2.342 4.246 4.246
4.246 4.246 2.342
4.246 4.246 6.151
```

Number 1: electronic total energy -6.33 eV per atom. Number 2: electronic total energy -6.95 eV per atom. Number 3: electronic total energy -6.43 eV per atom.